An optimized crystal structure of Cs2LiU2S7. Source: Alexandria via LeMat-Bulk, functional PBE-GGA.

Structure (CIF):
```
data_Cs2LiU2S7
_chemical_formula_sum 'Cs8 Li4 U8 S28'
_space_group_name_H-M_alt 'F m m m'
_space_group_IT_number 69
_space_group_name_Hall '-F 2 2'
_cell_length_a 7.353
_cell_length_b 7.365
_cell_length_c 27.731
_cell_angle_alpha 90.00
_cell_angle_beta 90.00
_cell_angle_gamma 90.00
loop_
_atom_site_label
_atom_site_fract_x
_atom_site_fract_y
_atom_site_fract_z
Cs1 0.000 0.000 0.186
Li1 0.000 0.000 0.000
U1 0.000 0.000 0.407
S1 0.000 0.000 0.319
S2 0.000 0.000 0.500
S3 0.250 0.250 0.088
```

## Properties
* raw total energy: -5.79 eV per atom
* formation energy (no corrections): -1.203 eV/atom